[1]
The following is a PBE-GGA calculation of a relaxed structure of Sm8CdRh2, from the Alexandria database. Values from VASP.

Energy of formation from the pure elements = -279 meV per atom
Total magnetic moment = 0.000 μB/f.u.
Density of states at the Fermi level = 13.36 states/eV/cell

The structure in Quantum ESPRESSO input format:
```
&SYSTEM
  ibrav = 0, nat = 11, ntyp = 3
/
ATOMIC_SPECIES
Sm 150.36 Sm.upf
Cd 112.41 Cd.upf
Rh 102.91 Rh.upf
CELL_PARAMETERS angstrom
4.344 -6.864 0.000
4.344 6.864 0.000
-1.396 0.000 5.439
ATOMIC_POSITIONS crystal
Sm 0.080 0.331 0.568
Sm 0.247 0.753 0.000
Sm 0.331 0.080 0.568
Sm 0.393 0.393 0.194
Sm 0.607 0.607 0.806
Sm 0.669 0.920 0.432
Sm 0.753 0.247 0.000
Sm 0.920 0.669 0.432
Cd 0.000 0.000 0.000
Rh 0.296 0.704 0.500
Rh 0.704 0.296 0.500
```

[2]
The following is a PBE-GGA calculation of a relaxed structure of Li3PdO3, from the Alexandria database. Values from VASP.

Total magnetic moment = 1.021 μB/f.u.
Offset from the most stable computed form = 0 meV/atom
ΔE_f (raw) = -1.23 eV per atom
Density of states at the Fermi level = 18.24 states/eV/cell

The structure in Quantum ESPRESSO input format:
```
&SYSTEM
  ibrav = 0, nat = 28, ntyp = 3
/
ATOMIC_SPECIES
Li 6.94 Li.upf
Pd 106.42 Pd.upf
O 16.00 O.upf
CELL_PARAMETERS angstrom
-4.269 4.269 4.269
4.269 -4.269 4.269
4.269 4.269 -4.269
ATOMIC_POSITIONS crystal
Li 0.026 0.052 0.776
Li 0.026 0.474 0.250
Li 0.052 0.776 0.026
Li 0.250 0.026 0.474
Li 0.250 0.724 0.776
Li 0.448 0.474 0.724
Li 0.474 0.250 0.026
Li 0.474 0.724 0.448
Li 0.724 0.448 0.474
Li 0.724 0.776 0.250
Li 0.776 0.026 0.052
Li 0.776 0.250 0.724
Pd 0.000 0.250 0.500
Pd 0.250 0.250 0.250
Pd 0.250 0.500 0.000
Pd 0.500 0.000 0.250
O 0.245 0.750 0.255
O 0.245 0.995 0.989
O 0.255 0.245 0.750
O 0.255 0.511 0.505
O 0.505 0.255 0.511
O 0.505 0.750 0.995
O 0.511 0.505 0.255
O 0.750 0.255 0.245
O 0.750 0.995 0.505
O 0.989 0.245 0.995
O 0.995 0.505 0.750
O 0.995 0.989 0.245
```

[3]
The following is a PBE-GGA calculation of a relaxed structure of Fe3Ni3Rh2, from the Alexandria database. Values from VASP.

Energy of formation from the pure elements = -40 meV per atom
Total magnetic moment = 11.196 μB/f.u.
Density of states at the Fermi level = 8.30 states/eV/cell

The structure in Quantum ESPRESSO input format:
```
&SYSTEM
  ibrav = 0, nat = 8, ntyp = 3
/
ATOMIC_SPECIES
Fe 55.84 Fe.upf
Ni 58.69 Ni.upf
Rh 102.91 Rh.upf
CELL_PARAMETERS angstrom
3.658 0.000 0.000
0.000 3.691 0.000
0.000 0.000 7.256
ATOMIC_POSITIONS crystal
Fe 0.000 0.000 0.000
Fe 0.000 0.000 0.500
Fe 0.500 0.500 0.000
Ni 0.000 0.500 0.253
Ni 0.000 0.500 0.747
Ni 0.500 0.500 0.500
Rh 0.500 0.000 0.250
Rh 0.500 0.000 0.750
```

[4]
The following is a PBE-GGA calculation of a relaxed structure of In3Ag7, from the Alexandria database. Values from VASP.

Energy of formation from the pure elements = -13 meV per atom
Total magnetic moment = 0.000 μB/f.u.
Density of states at the Fermi level = 2.20 states/eV/cell

The structure in Quantum ESPRESSO input format:
```
&SYSTEM
  ibrav = 0, nat = 10, ntyp = 2
/
ATOMIC_SPECIES
In 114.82 In.upf
Ag 107.87 Ag.upf
CELL_PARAMETERS angstrom
7.703 -2.196 0.000
7.703 2.196 0.000
-1.402 0.000 5.719
ATOMIC_POSITIONS crystal
In 0.000 0.000 0.000
In 0.196 0.196 0.613
In 0.804 0.804 0.387
Ag 0.000 0.000 0.500
Ag 0.201 0.201 0.108
Ag 0.400 0.400 0.695
Ag 0.403 0.403 0.195
Ag 0.597 0.597 0.805
Ag 0.600 0.600 0.305
Ag 0.799 0.799 0.892
```

[5]
The following is a PBE-GGA calculation of a relaxed structure of ZnOsPt, from the Alexandria database. Values from VASP.

Energy of formation from the pure elements = 503 meV per atom
Total magnetic moment = 0.016 μB/f.u.
Offset from the most stable computed form = 480 meV/atom
Density of states at the Fermi level = 14.51 states/eV/cell

The structure in Quantum ESPRESSO input format:
```
&SYSTEM
  ibrav = 0, nat = 12, ntyp = 3
/
ATOMIC_SPECIES
Zn 65.41 Zn.upf
Os 190.23 Os.upf
Pt 195.08 Pt.upf
CELL_PARAMETERS angstrom
5.934 0.000 0.000
0.000 5.934 0.000
0.000 0.000 5.934
ATOMIC_POSITIONS crystal
Zn 0.000 0.000 0.000
Zn 0.000 0.500 0.500
Zn 0.500 0.000 0.500
Zn 0.500 0.500 0.000
Os 0.000 0.000 0.500
Os 0.000 0.500 0.000
Os 0.500 0.000 0.000
Os 0.500 0.500 0.500
Pt 0.250 0.250 0.750
Pt 0.250 0.750 0.250
Pt 0.750 0.250 0.250
Pt 0.750 0.750 0.750
```

[6]
The following is a PBE-GGA calculation of a relaxed structure of Pr2NdHo3S6, from the Alexandria database. Values from VASP.

Total magnetic moment = 0.000 μB/f.u.
ΔE_f (raw) = -2.01 eV per atom
Density of states at the Fermi level = 4.60 states/eV/cell

The structure in Quantum ESPRESSO input format:
```
&SYSTEM
  ibrav = 0, nat = 12, ntyp = 4
/
ATOMIC_SPECIES
Pr 140.91 Pr.upf
Nd 144.24 Nd.upf
Ho 164.93 Ho.upf
S 32.06 S.upf
CELL_PARAMETERS angstrom
8.752 -1.970 0.000
8.752 1.970 0.000
-2.096 0.000 7.815
ATOMIC_POSITIONS crystal
Pr 0.167 0.167 0.333
Pr 0.833 0.833 0.667
Nd 0.500 0.500 0.000
Ho 0.167 0.167 0.833
Ho 0.500 0.500 0.500
Ho 0.833 0.833 0.167
S 0.005 0.005 0.740
S 0.330 0.330 0.929
S 0.338 0.338 0.405
S 0.662 0.662 0.595
S 0.670 0.670 0.071
S 0.995 0.995 0.260
```